## InSiNi2 (GGA-PBE)

Data for a relaxed structure of InSiNi2.

Values from the calculation:
Magnetic moment   0.000 μB/f.u.
Crystal system   cubic
DOS(E_F)   1.5 states/eV/cell
Symmetry   Fm-3m, No. 225
E_form (uncorrected)   -7.5 kJ per mole of atoms

Cell: 4.255 4.255 4.255 Å, 60.00 60.00 60.00°
Positions (direct):
Ni 0.250 0.250 0.250
Ni 0.750 0.750 0.750
Si 0.000 0.000 0.000
In 0.500 0.500 0.500

***

## Cr2SiOs (GGA-PBE)

Data for a relaxed structure of Cr2SiOs.

Values from the calculation:
Magnetic moment   0.000 μB/f.u.
Crystal system   monoclinic
DOS(E_F)   3.8 states/eV/cell
Symmetry   P2/m, No. 10
E_form (uncorrected)   -12.9 kJ per mole of atoms

Cell: 3.815 2.720 5.569 Å, 60.51 90.00 90.00°
Positions (direct):
Cr 0.000 0.023 0.979
Cr 0.000 0.477 0.521
Os 0.500 0.250 0.250
Si 0.500 0.750 0.750

***

## Co2Ni6Pt3 (GGA-PBE)

Data for a relaxed structure of Co2Ni6Pt3.

Values from the calculation:
Magnetic moment   8.966 μB/f.u.
Total DFT energy (no corrections)   -6.071 eV/atom
Crystal system   monoclinic
DOS(E_F)   29.8 states/eV/cell
Symmetry   C2/c, No. 15

Cell: 5.594 4.411 15.015 Å, 90.22 79.26 50.65°
Last column: magnetic moment on the atom in μB.
Positions (direct):
Co 0.283 0.844 0.982  1.84
Co 0.891 0.344 0.482  1.84
Co 0.717 0.156 0.018  1.84
Co 0.109 0.656 0.518  1.84
Ni 0.029 0.885 0.858  0.74
Ni 0.444 0.209 0.900  0.77
Ni 0.873 0.525 0.939  0.78
Ni 0.228 0.385 0.358  0.74
Ni 0.663 0.025 0.439  0.78
Ni 0.446 0.709 0.400  0.77
Ni 0.971 0.115 0.142  0.74
Ni 0.556 0.791 0.100  0.77
Ni 0.127 0.475 0.061  0.78
Ni 0.772 0.615 0.642  0.74
Ni 0.337 0.975 0.561  0.78
Ni 0.554 0.291 0.600  0.77
Pt 0.994 0.929 0.686  0.33
Pt 0.239 0.250 0.750  0.30
Pt 0.610 0.571 0.814  0.33
Pt 0.390 0.429 0.186  0.33
Pt 0.006 0.071 0.314  0.33
Pt 0.761 0.750 0.250  0.30

***

## Ba2TlBr (GGA-PBE)

Data for a relaxed structure of Ba2TlBr.

Values from the calculation:
Magnetic moment   0.000 μB/f.u.
Crystal system   trigonal
DOS(E_F)   2.3 states/eV/cell
Symmetry   R3m, No. 160
E_form (uncorrected)   -92.6 kJ per mole of atoms

Cell: 4.593 4.593 9.802 Å, 76.45 76.45 60.00°
Positions (direct):
Ba 0.083 0.083 0.752
Ba 0.251 0.251 0.246
Tl 0.667 0.667 0.999
Br 0.499 0.499 0.503

***

## KCu2Tc (GGA-PBE)

Data for a relaxed structure of KCu2Tc.

Values from the calculation:
Magnetic moment   0.276 μB/f.u.
Total DFT energy (no corrections)   -4.145 eV/atom
Crystal system   trigonal
DOS(E_F)   4.5 states/eV/cell
Symmetry   R-3m, No. 166

Cell: 10.063 10.063 10.063 Å, 15.98 15.98 15.98°
Last column: magnetic moment on the atom in μB.
Positions (direct):
Cu 0.012 0.012 0.012  0.01
Cu 0.488 0.488 0.488  0.01
K 0.250 0.250 0.250  0.00
Tc 0.750 0.750 0.750  0.24

***

## Sc6PdC4 (GGA-PBE)

Data for a relaxed structure of Sc6PdC4.

Values from the calculation:
Magnetic moment   0.000 μB/f.u.
Total DFT energy (no corrections)   -7.778 eV/atom
Crystal system   orthorhombic
DOS(E_F)   2.2 states/eV/cell
Symmetry   Cmcm, No. 63

Cell: 3.392 5.862 17.534 Å, 90.00 90.00 106.81°
Positions (direct):
Sc 0.500 0.000 0.000
Sc 0.500 0.000 0.500
Sc 0.032 0.065 0.354
Sc 0.968 0.935 0.646
Sc 0.968 0.935 0.854
Sc 0.032 0.065 0.146
Sc 0.771 0.543 0.423
Sc 0.229 0.457 0.577
Sc 0.229 0.457 0.923
Sc 0.771 0.543 0.077
Sc 0.328 0.655 0.250
Sc 0.672 0.345 0.750
Pd 0.638 0.277 0.250
Pd 0.362 0.723 0.750
C 0.864 0.727 0.541
C 0.404 0.809 0.133
C 0.136 0.273 0.459
C 0.596 0.191 0.867
C 0.864 0.727 0.959
C 0.136 0.273 0.041
C 0.596 0.191 0.633
C 0.404 0.809 0.367

***

## Tm4Sc4Pb7 (GGA-PBE)

Data for a relaxed structure of Tm4Sc4Pb7.

Values from the calculation:
Magnetic moment   0.000 μB/f.u.
Total DFT energy (no corrections)   -5.031 eV/atom
Crystal system   tetragonal
DOS(E_F)   26.3 states/eV/cell
Symmetry   I4/mmm, No. 139

Cell: 6.399 11.657 11.657 Å, 85.68 74.07 74.07°
Positions (direct):
Tm 0.870 0.260 0.000
Tm 0.130 0.740 0.000
Tm 0.130 0.000 0.740
Tm 0.870 0.000 0.260
Tm 0.500 0.813 0.187
Tm 0.500 0.187 0.813
Tm 0.313 0.187 0.187
Tm 0.687 0.813 0.813
Sc 0.098 0.805 0.500
Sc 0.402 0.195 0.500
Sc 0.402 0.500 0.195
Sc 0.098 0.500 0.805
Sc 0.902 0.500 0.195
Sc 0.598 0.500 0.805
Sc 0.598 0.805 0.500
Sc 0.902 0.195 0.500
Pb 0.500 0.601 0.399
Pb 0.500 0.399 0.601
Pb 0.101 0.399 0.399
Pb 0.899 0.601 0.601
Pb 0.748 0.000 0.000
Pb 0.252 0.000 0.000
Pb 0.694 0.612 0.000
Pb 0.306 0.388 0.000
Pb 0.306 0.000 0.388
Pb 0.694 0.000 0.612
Pb 0.000 0.274 0.726
Pb 0.000 0.726 0.274
Pb 0.274 0.726 0.726
Pb 0.726 0.274 0.274

***

## ZnRe4Se (GGA-PBE)

Data for a relaxed structure of ZnRe4Se.

Values from the calculation:
Magnetic moment   0.000 μB/f.u.
Crystal system   cubic
DOS(E_F)   2.4 states/eV/cell
Symmetry   F-43m, No. 216
E_form (uncorrected)   78.8 kJ per mole of atoms

Cell: 5.231 5.231 5.231 Å, 60.00 60.00 60.00°
Positions (direct):
Zn 0.000 0.000 0.000
Re 0.873 0.376 0.376
Re 0.376 0.376 0.873
Re 0.376 0.873 0.376
Re 0.376 0.376 0.376
Se 0.750 0.750 0.750

***

## Sm2DyN (GGA-PBE)

Data for a relaxed structure of Sm2DyN.

Values from the calculation:
Magnetic moment   0.004 μB/f.u.
Crystal system   trigonal
DOS(E_F)   4.4 states/eV/cell
Symmetry   R-3m, No. 166
E_form (uncorrected)   -56.4 kJ per mole of atoms

Cell: 3.535 3.535 9.789 Å, 79.60 79.60 60.00°
Positions (direct):
N 0.500 0.500 0.500
Sm 0.119 0.119 0.642
Sm 0.881 0.881 0.358
Dy 0.000 0.000 0.000

***

## MgSiW2 (GGA-PBE)

Data for a relaxed structure of MgSiW2.

Values from the calculation:
Magnetic moment   0.000 μB/f.u.
Crystal system   monoclinic
DOS(E_F)   1.6 states/eV/cell
Symmetry   Pm, No. 6
E_form (uncorrected)   23.3 kJ per mole of atoms

Cell: 4.461 2.811 5.210 Å, 79.43 90.00 90.00°
Positions (direct):
Mg 0.000 0.515 0.514
Si 0.500 0.882 0.751
W 0.000 0.941 0.004
W 0.500 0.163 0.231

***

## MgPPt2 (GGA-PBE)

Data for a relaxed structure of MgPPt2.

Values from the calculation:
Magnetic moment   0.000 μB/f.u.
Total DFT energy (no corrections)   -5.176 eV/atom
Crystal system   tetragonal
DOS(E_F)   1.1 states/eV/cell
Symmetry   I-4m2, No. 119

Cell: 5.023 5.023 5.023 Å, 135.67 135.67 64.48°
Positions (direct):
Mg 0.500 0.500 0.000
P 0.750 0.250 0.500
Pt 0.000 0.000 0.000
Pt 0.250 0.750 0.500

***

## LiNdTmCd (GGA-PBE)

Data for a relaxed structure of LiNdTmCd.

Values from the calculation:
Magnetic moment   0.004 μB/f.u.
Total DFT energy (no corrections)   -3.127 eV/atom
Crystal system   cubic
DOS(E_F)   5.4 states/eV/cell
Symmetry   F-43m, No. 216

Cell: 5.312 5.312 5.312 Å, 60.00 60.00 60.00°
Positions (direct):
Tm 0.500 0.500 0.500
Nd 0.000 0.000 0.000
Li 0.250 0.250 0.250
Cd 0.750 0.750 0.750

***

## La2ScTaW (GGA-PBE)

Data for a relaxed structure of La2ScTaW.

Values from the calculation:
Magnetic moment   3.142 μB/f.u.
Total DFT energy (no corrections)   -6.374 eV/atom
Crystal system   tetragonal
DOS(E_F)   5.5 states/eV/cell
Symmetry   P4/mmm, No. 123

Cell: 5.497 4.811 5.497 Å, 90.00 90.00 90.00°
Last column: magnetic moment on the atom in μB.
Positions (direct):
Sc 0.000 0.000 0.000  0.24
La 0.000 0.000 0.500  0.13
La 0.500 0.000 0.000  0.05
W 0.500 0.500 0.500  2.43
Ta 0.000 0.500 0.000  -0.37

***

## Cs6PAu (GGA-PBE)

Data for a relaxed structure of Cs6PAu.

Values from the calculation:
Magnetic moment   0.026 μB/f.u.
Total DFT energy (no corrections)   -1.876 eV/atom
Crystal system   triclinic
DOS(E_F)   4.6 states/eV/cell
Symmetry   P-1, No. 2

Cell: 6.344 9.854 9.987 Å, 65.46 71.48 71.19°
Positions (direct):
Cs 0.938 0.407 0.717
Cs 0.561 0.119 0.759
Cs 0.732 0.277 0.261
Cs 0.439 0.881 0.241
Cs 0.062 0.593 0.283
Cs 0.268 0.723 0.739
P 0.500 0.500 0.500
Au 0.000 0.000 0.000

***

## YbU3 (GGA-PBE)

Data for a relaxed structure of YbU3.

Values from the calculation:
Magnetic moment   2.992 μB/f.u.
Total DFT energy (no corrections)   -8.258 eV/atom
Crystal system   hexagonal
DOS(E_F)   23.5 states/eV/cell
Symmetry   P6_3/mmc, No. 194

Cell: 6.455 6.455 5.270 Å, 90.00 90.00 120.00°
Last column: magnetic moment on the atom in μB.
Positions (direct):
Yb 0.333 0.667 0.750  0.04
Yb 0.667 0.333 0.250  0.04
U 0.143 0.286 0.250  0.95
U 0.714 0.857 0.250  0.95
U 0.143 0.857 0.250  0.95
U 0.857 0.714 0.750  0.95
U 0.286 0.143 0.750  0.95
U 0.857 0.143 0.750  0.95

***

## YTl3In (GGA-PBE)

Data for a relaxed structure of YTl3In.

Values from the calculation:
Magnetic moment   0.000 μB/f.u.
Total DFT energy (no corrections)   -2.837 eV/atom
Crystal system   cubic
DOS(E_F)   3.4 states/eV/cell
Symmetry   Pm-3m, No. 221

Cell: 5.618 5.618 5.618 Å, 90.00 90.00 90.00°
Positions (direct):
Y 0.500 0.500 0.500
Tl 0.000 0.500 0.000
Tl 0.000 0.000 0.500
Tl 0.500 0.000 0.000
In 0.000 0.000 0.000

***

## ZnPtCl2 (GGA-PBE)

Data for a relaxed structure of ZnPtCl2.

Values from the calculation:
Magnetic moment   0.000 μB/f.u.
Crystal system   monoclinic
Symmetry   C2/m, No. 12
E_form (uncorrected)   -39.5 kJ per mole of atoms

Cell: 7.126 7.126 4.120 Å, 87.60 87.60 27.22°
Positions (direct):
Zn 0.750 0.750 0.750
Pt 0.250 0.250 0.250
Cl 0.109 0.109 0.968
Cl 0.391 0.391 0.532

***

## PmCdGa (GGA-PBE)

Data for a relaxed structure of PmCdGa.

Values from the calculation:
Magnetic moment   0.000 μB/f.u.
Total DFT energy (no corrections)   -3.427 eV/atom
Crystal system   hexagonal
DOS(E_F)   1.7 states/eV/cell
Symmetry   P-62m, No. 189

Cell: 4.489 7.393 7.393 Å, 120.00 90.00 90.00°
Positions (direct):
Pm 0.500 0.421 0.421
Pm 0.500 0.000 0.579
Pm 0.500 0.579 0.000
Cd 0.000 0.752 0.752
Cd 0.000 0.000 0.248
Cd 0.000 0.248 0.000
Ga 0.000 0.333 0.667
Ga 0.000 0.667 0.333
Ga 0.500 0.000 0.000